# Ac2PrThSe4 | Alexandria via LeMat-Bulk | GGA-PBE | relaxed
data_Ac2PrThSe4
_cell_length_a 7.510
_cell_length_b 4.321
_cell_length_c 7.573
_cell_angle_alpha 90.00
_cell_angle_beta 109.21
_cell_angle_gamma 90.00
_space_group_name_H-M_alt 'P 1 2/m 1'
_space_group_IT_number 10
loop_
_space_group_symop_operation_xyz
'x,y,z'
'-x,-y,-z'
'-x,y,-z'
'x,-y,z'
loop_
_atom_site_label
_atom_site_type_symbol
_atom_site_fract_x
_atom_site_fract_y
_atom_site_fract_z
Ac1 Ac 0.000 0.000 0.000
Ac2 Ac 0.500 0.500 0.000
Pr1 Pr 0.000 0.500 0.500
Th1 Th 0.500 0.000 0.500
Se1 Se 0.248 0.000 0.736
Se2 Se 0.257 0.500 0.265
# N(E_F)	0.510	states/eV/atom
# ΔE_f (raw)	-1.763	eV per atom
# total magnetization	0.00	μB/f.u.
# total energy	-6.0571	eV per atom